Compound: ZrCoTeO6
Source: the Alexandria database
Functional: GGA+U
Structure: optimized geometry

## Properties
Energy in eV per cell: -123.21

Unit cell a=5.353 b=5.353 c=8.964 alpha=90.00 beta=90.00 gamma=120.00
Atoms (fractional coordinates):
1 Zr 0.333 0.667 0.250
2 Zr 0.667 0.333 0.750
3 Co 0.000 0.000 0.000
4 Co 0.000 0.000 0.500
5 Te 0.333 0.667 0.750
6 Te 0.667 0.333 0.250
7 O 0.024 0.361 0.631
8 O 0.024 0.663 0.869
9 O 0.337 0.361 0.869
10 O 0.337 0.976 0.631
11 O 0.361 0.024 0.131
12 O 0.361 0.337 0.369
13 O 0.639 0.663 0.631
14 O 0.639 0.976 0.869
15 O 0.663 0.024 0.369
16 O 0.663 0.639 0.131
17 O 0.976 0.337 0.131
18 O 0.976 0.639 0.369